A geometry-optimized Nb3InB3 structure. Source: OQMD, functional GGA-PBE.

Summary:
E	-8.0436	eV/atom
density	7.58	g cm⁻³

```
14
Lattice="4.365 3.427 16.915 -6.568 -5.551 -15.587 2.161 -2.298 -0.092" Properties=species:S:1:pos:R:3 pbc="T T T"
Nb 0.107 -3.125 -0.634
Nb -0.148 -1.298 1.869
Nb 1.736 -1.787 4.211
Nb -1.777 -2.636 -2.975
Nb -4.254 -4.670 -10.339
Nb 4.213 0.247 11.575
B 4.995 0.889 13.898
B 4.767 2.738 16.479
B -5.036 -5.312 -12.662
B -4.808 -7.161 -15.244
B 4.211 2.282 14.827
B -4.252 -6.705 -13.591
In 2.872 -0.854 7.588
In -2.913 -3.569 -6.353
```